Computed, not measured: a crystal of TiCuHPb2 relaxed with PBEsol at the meta-GGA SCAN level of DFT.

Computed properties:
SG: P4/mmm (123)
raw total energy: -36.325 eV/atom
volume: 119 Å³ per cell

Cell and atoms, written as extended XYZ:
```
5
Lattice="4.975 0.000 0.000 0.000 4.975 0.000 0.000 0.000 4.822" Properties=species:S:1:pos:R:3 pbc="T T T"
Ti 0.000 0.000 0.000
Cu 0.000 0.000 2.411
H 2.487 2.487 0.000
Pb 0.000 2.487 2.411
Pb 2.487 0.000 2.411
```

=====

Computed, not measured: a crystal of TaAl7 relaxed with PBEsol at the meta-GGA SCAN level of DFT.

Computed properties:
SG: Fm-3m (225)
calculated formation energy: -0.06 eV per atom
raw total energy: -15.162 eV/atom
volume: 128 Å³ per cell

Cell and atoms, written as extended XYZ:
```
8
Lattice="0.000 4.004 4.004 4.004 0.000 4.004 4.004 4.004 0.000" Properties=species:S:1:pos:R:3 pbc="T T T"
Ta 0.000 0.000 0.000
Al 2.002 2.002 0.000
Al 2.002 0.000 2.002
Al 4.004 2.002 2.002
Al 0.000 2.002 2.002
Al 2.002 4.004 2.002
Al 2.002 2.002 4.004
Al 4.004 4.004 4.004
```

=====

Computed, not measured: a crystal of MgZn2P relaxed with PBEsol at the meta-GGA SCAN level of DFT.

Computed properties:
SG: Imm2 (44)
calculated formation energy: 0.03 eV per atom
raw total energy: -10.570 eV/atom
volume: 63 Å³ per cell

Cell and atoms, written as extended XYZ:
```
4
Lattice="-1.913 1.990 4.135 1.913 -1.990 4.135 1.913 1.990 -4.135" Properties=species:S:1:pos:R:3 pbc="T T T"
Mg 0.000 0.000 0.000
Zn 0.000 0.000 4.019
Zn 0.000 1.990 2.005
P 1.913 0.000 2.074
```

=====

Computed, not measured: a crystal of Ta2IrPt relaxed with PBEsol at the meta-GGA SCAN level of DFT.

Computed properties:
SG: Cmmm (65)
calculated formation energy: -0.79 eV per atom
raw total energy: -69.406 eV/atom
volume: 63 Å³ per cell

Cell and atoms, written as extended XYZ:
```
4
Lattice="2.809 -3.966 0.000 2.809 3.966 0.000 0.000 0.000 2.817" Properties=species:S:1:pos:R:3 pbc="T T T"
Ta 1.404 1.983 0.000
Ta 1.404 -1.983 0.000
Ir 0.000 0.000 1.409
Pt 2.809 0.000 1.409
```

=====

Computed, not measured: a crystal of Ca9InP7O28 relaxed with PBEsol at the meta-GGA SCAN level of DFT.

Computed properties:
SG: R3c (161)
raw total energy: -11.261 eV/atom
formation energy from raw total energies: -3.091 eV/atom
volume: 1154 Å³ per cell

Cell and atoms, written as extended XYZ:
```
90
Lattice="5.190 2.997 12.363 -5.190 2.997 12.363 0.000 -5.993 12.363" Properties=species:S:1:pos:R:3 pbc="T T T"
Ca -3.045 1.696 7.400
Ca 0.054 -3.485 7.400
Ca -2.145 -1.300 13.581
Ca -2.857 -1.833 24.726
Ca -2.333 1.164 18.544
Ca 0.158 -2.603 18.544
Ca -0.115 -3.519 22.003
Ca -2.990 1.859 22.003
Ca -2.200 -1.138 28.184
Ca -0.054 2.508 13.581
Ca 2.199 -1.208 13.581
Ca 2.992 1.789 7.400
Ca 2.175 1.439 18.544
Ca -0.158 3.391 24.726
Ca 3.016 -1.558 24.726
Ca 2.085 -1.337 28.184
Ca 0.115 2.474 28.184
Ca 3.105 1.660 22.003
In 0.000 0.000 16.112
In 0.000 0.000 34.656
P -2.596 1.279 11.099
P -2.594 -1.718 17.280
P 0.191 -2.888 11.099
P 0.000 0.000 7.597
P -2.832 1.430 14.932
P 0.178 -3.168 14.932
P -2.358 -1.567 21.113
P 2.405 1.609 11.099
P -0.191 3.106 17.280
P 2.785 -1.388 17.280
P 0.000 0.000 26.141
P -0.178 2.826 21.113
P 2.536 -1.259 21.113
P 2.655 1.738 14.932
O -2.857 -0.168 11.567
O -1.473 -0.102 7.120
O -3.774 0.517 14.097
O -3.895 2.112 11.414
O -2.860 -1.728 15.768
O -3.759 -1.020 17.997
O -1.126 -3.795 14.420
O 0.119 -4.430 11.414
O -3.798 -2.216 20.870
O -2.333 -3.164 17.748
O -0.996 -2.228 11.816
O -2.330 1.269 9.587
O 0.066 -2.652 9.587
O 0.825 -1.224 7.120
O -3.240 1.307 16.397
O 0.000 0.000 9.151
O -1.417 -2.480 20.278
O -2.724 2.873 14.420
O -1.432 1.976 11.816
O 0.488 -3.459 16.397
O -1.295 -0.885 17.596
O -1.392 0.781 14.689
O 0.020 -1.596 14.689
O -2.467 -0.124 20.601
O 1.439 -3.527 14.097
O -1.951 -1.690 22.579
O 0.648 1.326 7.120
O 1.574 -2.390 11.567
O -1.574 3.603 17.748
O -0.825 -1.224 25.664
O -1.439 2.467 20.278
O -0.119 1.564 17.596
O 2.264 1.383 9.587
O 2.428 0.252 11.816
O 1.341 -2.074 20.601
O 1.414 -0.679 17.596
O 1.372 0.815 14.689
O 1.283 2.558 11.567
O 2.763 -2.745 17.997
O -0.066 3.341 15.768
O 2.926 -1.613 15.768
O -0.488 2.534 22.579
O -0.648 1.326 25.664
O 0.000 0.000 27.696
O 2.334 3.010 14.097
O 1.126 2.198 20.601
O 0.996 3.765 17.997
O 2.439 -0.844 22.579
O 3.777 2.317 11.414
O -0.020 4.398 20.870
O 3.818 -2.182 20.870
O 3.850 0.922 14.420
O 2.856 0.013 20.278
O 2.752 2.152 16.397
O 1.473 -0.102 25.664
O 3.907 -0.439 17.748
```

=====

Computed, not measured: a crystal of InSiSn3 relaxed with PBEsol at the meta-GGA SCAN level of DFT.

Computed properties:
SG: Pm-3m (221)
raw total energy: -29.672 eV/atom
formation energy from raw total energies: 0.561 eV/atom
volume: 139 Å³ per cell

Cell and atoms, written as extended XYZ:
```
5
Lattice="5.183 0.000 0.000 0.000 5.183 0.000 0.000 0.000 5.183" Properties=species:S:1:pos:R:3 pbc="T T T"
In 0.000 0.000 0.000
Si 2.592 2.592 2.592
Sn 0.000 2.592 2.592
Sn 2.592 0.000 2.592
Sn 2.592 2.592 0.000
```

=====

no.,magnetic moment (μB per formula unit)
1,1.889
2,0.000
3,0.000
4,0.000
5,0.000
6,0.000